No. 1
FeTe2RuN | PBE | optimized geometry

## Properties
relative energy among the computed polymorphs	0.141	eV per atom
formation energy from raw total energies	0.64	eV per atom

```
FeTe2RuN
1.0
5.416 0.000 0.000
0.000 5.416 0.000
0.000 0.000 3.624
Fe Te Ru N
1 2 1 1
Cartesian
0.000 0.000 0.000 Fe
0.000 2.708 1.812 Te
2.708 0.000 1.812 Te
2.708 2.708 1.812 Ru
2.708 2.708 0.000 N
```


No. 2
SrZn4Ga | PBE | optimized geometry

## Properties
energy relative to the elements	-8.3	kJ/mol of atoms

```
SrZn4Ga
1.0
0.000 3.931 3.931
3.931 0.000 3.931
3.931 3.931 0.000
Sr Zn Ga
1 4 1
Cartesian
0.000 0.000 0.000 Sr
2.955 2.955 2.955 Zn
4.908 4.908 2.955 Zn
4.908 2.955 4.908 Zn
2.955 4.908 4.908 Zn
5.897 5.897 5.897 Ga
```


| no. | size of the total moment (μB per cell) | density (g/cm3) |
| --- | --- | --- |
| 1 | 3.281 | 6.65 |
| 2 | 0.000 | 5.73 |